DFT (PBE) results for CaSmO2 after structural relaxation.

POSCAR file:
```
CaSmO2
1.0
1.689 0.975 6.048
-1.689 0.975 6.048
0.000 -1.950 6.048
Ca Sm O
1 1 2
direct
0.000 0.000 0.000
0.827 0.827 0.827
0.246 0.246 0.246
0.410 0.410 0.410
```

Output
Energy above the lowest structure with this stoichiometry: 0.620 eV per formula unit
Uncorrected energy: -6.83 eV/atom
Symmetry: R3m
Crystal system: trigonal
Size of the total moment: 0.00 μB/cell

DFT (PBE) results for CaSm3O after structural relaxation.

POSCAR file:
```
CaSm3O
1.0
5.081 0.000 0.000
0.000 5.081 0.000
0.000 0.000 5.081
Ca Sm O
1 3 1
direct
0.000 0.000 0.000
0.000 0.500 0.500
0.500 0.000 0.500
0.500 0.500 0.000
0.500 0.500 0.500
```

Output
Uncorrected energy: -5.25 eV/atom
Symmetry: Pm-3m
Crystal system: cubic
Size of the total moment: 0.00 μB/cell

DFT (PBE) results for CaSm2O after structural relaxation.

POSCAR file:
```
CaSm2O
1.0
1.819 1.050 9.463
-1.819 1.050 9.463
0.000 -2.101 9.463
Ca Sm O
1 2 1
direct
0.000 0.000 0.000
0.120 0.120 0.120
0.880 0.880 0.880
0.500 0.500 0.500
```

Output
Uncorrected energy: -5.27 eV/atom
Symmetry: R-3m
Crystal system: trigonal
Size of the total moment: 0.00 μB/cell

DFT (PBE) results for CaSmO after structural relaxation.

POSCAR file:
```
CaSmO
1.0
3.530 0.000 0.000
-1.765 3.057 0.000
0.000 0.000 6.177
Ca Sm O
1 1 1
direct
0.000 0.000 0.000
0.667 0.333 0.539
0.333 0.667 0.788
```

Output
Energy above the lowest structure with this stoichiometry: 0.000 eV per formula unit
Uncorrected energy: -5.60 eV/atom
Symmetry: P3m1
Crystal system: trigonal
Size of the total moment: 0.99 μB/cell

DFT (PBE) results for CaSmO after structural relaxation.

POSCAR file:
```
CaSmO
1.0
6.650 -1.766 0.000
6.650 1.766 0.000
-2.813 0.000 5.707
Ca Sm O
2 2 2
direct
0.137 0.137 0.481
0.863 0.863 0.519
0.360 0.360 0.025
0.640 0.640 0.975
0.248 0.248 0.271
0.752 0.752 0.729
```

Output
Energy above the lowest structure with this stoichiometry: 0.046 eV per formula unit
Uncorrected energy: -5.59 eV/atom
Symmetry: C2/m
Crystal system: monoclinic
Size of the total moment: 0.00 μB/cell

DFT (PBE) results for Ca5SmO6 after structural relaxation.

POSCAR file:
```
Ca5SmO6
1.0
2.976 -5.157 0.000
2.976 5.157 0.000
-1.981 0.000 5.614
Ca Sm O
5 1 6
direct
0.000 0.000 0.000
0.166 0.834 0.500
0.331 0.669 0.000
0.669 0.331 0.000
0.834 0.166 0.500
0.500 0.500 0.500
0.086 0.417 0.252
0.252 0.252 0.748
0.417 0.086 0.252
0.583 0.914 0.748
0.748 0.748 0.252
0.914 0.583 0.748
```

Output
Uncorrected energy: -6.60 eV/atom
Symmetry: C2/m
Crystal system: monoclinic
Size of the total moment: 0.00 μB/cell

DFT (PBE) results for CaSmO4 after structural relaxation.

POSCAR file:
```
CaSmO4
1.0
3.443 -1.928 0.000
3.443 1.928 0.000
-0.653 0.000 6.634
Ca Sm O
1 1 4
direct
0.000 0.000 0.000
0.633 0.633 0.584
0.230 0.230 0.336
0.402 0.402 0.249
0.664 0.664 0.922
0.964 0.964 0.630
```

Output
Uncorrected energy: -6.78 eV/atom
Symmetry: Cm
Crystal system: monoclinic
Size of the total moment: 1.01 μB/cell

DFT (PBE) results for Ca2SmO after structural relaxation.

POSCAR file:
```
Ca2SmO
1.0
1.737 1.003 9.720
-1.737 1.003 9.720
0.000 -2.006 9.720
Ca Sm O
2 1 1
direct
0.118 0.118 0.118
0.882 0.882 0.882
0.000 0.000 0.000
0.500 0.500 0.500
```

Output
Uncorrected energy: -4.66 eV/atom
Symmetry: R-3m
Crystal system: trigonal
Size of the total moment: 0.00 μB/cell